First-principles (PBE) data for RbInPb after structural relaxation, as listed in Alexandria via LeMat-Bulk.

Cell and atoms, written as POSCAR:
```
RbInPb
1.0
2.372 -7.107 0.000
2.372 7.107 0.000
0.000 0.000 7.046
Rb In Pb
2 2 2
Direct
0.199 0.801 0.750 Rb
0.801 0.199 0.250 Rb
0.087 0.913 0.250 In
0.913 0.087 0.750 In
0.500 0.500 0.000 Pb
0.500 0.500 0.500 Pb
```

Summary:
symmetry: No. 63
energy of formation from the pure elements: -75 meV/atom
theoretical density: 5697 kg/m³

---

First-principles (PBE) data for Dy3Cd8 after structural relaxation, as listed in Alexandria via LeMat-Bulk.

Cell and atoms, written as POSCAR:
```
Dy3Cd8
1.0
2.478 1.431 12.374
-2.478 1.431 12.374
0.000 -2.862 12.374
Dy Cd
3 8
Direct
0.000 0.000 0.000 Dy
0.452 0.452 0.452 Dy
0.548 0.548 0.548 Dy
0.084 0.084 0.084 Cd
0.164 0.164 0.164 Cd
0.277 0.277 0.277 Cd
0.366 0.366 0.366 Cd
0.634 0.634 0.634 Cd
0.723 0.723 0.723 Cd
0.836 0.836 0.836 Cd
0.916 0.916 0.916 Cd
```

Summary:
symmetry: No. 166
energy of formation from the pure elements: -268 meV/atom
theoretical density: 8747 kg/m³

---

First-principles (PBE) data for NbSbH after structural relaxation, as listed in Alexandria via LeMat-Bulk.

Cell and atoms, written as POSCAR:
```
NbSbH
1.0
-7.093 7.093 4.050
7.093 -7.093 4.050
7.093 7.093 -4.050
Nb Sb H
16 16 16
Direct
0.108 0.390 0.102 Nb
0.110 0.712 0.718 Nb
0.168 0.275 0.321 Nb
0.212 0.993 0.602 Nb
0.225 0.046 0.893 Nb
0.347 0.668 0.393 Nb
0.454 0.847 0.179 Nb
0.493 0.392 0.782 Nb
0.507 0.608 0.218 Nb
0.546 0.153 0.821 Nb
0.653 0.332 0.607 Nb
0.775 0.954 0.107 Nb
0.788 0.007 0.398 Nb
0.832 0.725 0.679 Nb
0.890 0.288 0.282 Nb
0.892 0.610 0.898 Nb
0.066 0.646 0.430 Sb
0.104 0.005 0.120 Sb
0.136 0.566 0.920 Sb
0.146 0.215 0.580 Sb
0.285 0.364 0.930 Sb
0.385 0.984 0.380 Sb
0.484 0.604 0.599 Sb
0.495 0.115 0.099 Sb
0.505 0.885 0.901 Sb
0.516 0.396 0.401 Sb
0.615 0.016 0.620 Sb
0.715 0.636 0.070 Sb
0.854 0.785 0.420 Sb
0.864 0.434 0.080 Sb
0.896 0.995 0.880 Sb
0.934 0.354 0.570 Sb
0.084 0.985 0.716 H
0.132 0.416 0.400 H
0.153 0.825 0.900 H
0.232 0.632 0.216 H
0.247 0.347 0.172 H
0.325 0.925 0.672 H
0.425 0.253 0.600 H
0.485 0.268 0.900 H
0.515 0.732 0.100 H
0.575 0.747 0.400 H
0.675 0.075 0.328 H
0.753 0.653 0.828 H
0.768 0.368 0.784 H
0.847 0.175 0.100 H
0.868 0.584 0.600 H
0.916 0.015 0.284 H
```

Summary:
symmetry: No. 88
theoretical density: 7031 kg/m³
distance to the lowest polymorph of the same formula: 0.098 eV per atom

---

First-principles (PBE) data for Pm3Pr2PuS6 after structural relaxation, as listed in Alexandria via LeMat-Bulk.

Cell and atoms, written as POSCAR:
```
Pm3Pr2PuS6
1.0
8.818 -2.014 0.000
8.818 2.014 0.000
-1.878 0.000 7.910
Pm Pr Pu S
3 2 1 6
Direct
0.000 0.000 0.000 Pm
0.333 0.333 0.664 Pm
0.667 0.667 0.336 Pm
0.335 0.335 0.169 Pr
0.665 0.665 0.831 Pr
0.000 0.000 0.500 Pu
0.165 0.165 0.579 S
0.166 0.166 0.087 S
0.498 0.498 0.744 S
0.502 0.502 0.256 S
0.834 0.834 0.913 S
0.835 0.835 0.421 S
```

Summary:
symmetry: No. 12
formation energy (no corrections): -2.00 eV/atom
theoretical density: 6816 kg/m³

---

First-principles (PBE) data for Sc2TaCu after structural relaxation, as listed in Alexandria via LeMat-Bulk.

Cell and atoms, written as POSCAR:
```
Sc2TaCu
1.0
-1.605 2.428 4.806
1.605 -2.428 4.806
1.605 2.428 -4.806
Sc Ta Cu
2 1 1
Direct
0.221 0.221 0.000 Sc
0.779 0.779 0.000 Sc
0.500 0.000 0.500 Ta
0.000 0.500 0.500 Cu
```

Summary:
symmetry: No. 71
energy of formation from the pure elements: 161 meV/atom
theoretical density: 7412 kg/m³
distance to the lowest polymorph of the same formula: 0.209 eV per atom

---

First-principles (PBE) data for Ac4GeRu after structural relaxation, as listed in Alexandria via LeMat-Bulk.

Cell and atoms, written as POSCAR:
```
Ac4GeRu
1.0
6.089 0.000 0.000
0.000 9.163 0.000
-1.201 0.000 7.862
Ac Ge Ru
8 2 2
Direct
0.025 0.250 0.052 Ac
0.095 0.750 0.495 Ac
0.460 0.045 0.764 Ac
0.460 0.455 0.764 Ac
0.540 0.545 0.236 Ac
0.540 0.955 0.236 Ac
0.905 0.250 0.505 Ac
0.975 0.750 0.948 Ac
0.375 0.250 0.402 Ge
0.625 0.750 0.598 Ge
0.455 0.750 0.893 Ru
0.545 0.250 0.107 Ru
```

Summary:
symmetry: No. 11
energy of formation from the pure elements: -259 meV/atom
theoretical density: 8190 kg/m³
distance to the lowest polymorph of the same formula: 0.059 eV per atom